No. 1
Compound: SrZnInAu
Source: Alexandria via LeMat-Bulk
Functional: GGA-PBE
Structure: relaxed

Cell lengths 5.136, 5.136, 5.136 Å; angles 60.00, 60.00, 60.00 degrees
Fractional coordinates of all 4 atoms:
Sr  0.500  0.500  0.500
Zn  0.250  0.250  0.250
Au  0.750  0.750  0.750
In  0.000  0.000  0.000

calculated total energy: -10.45 eV per cell
DFT formation energy: -0.37 eV per atom
N(E_F): 1.55 states/eV per cell
crystal system: cubic

***

No. 2
Compound: Sr2ZnIn4Au3
Source: Alexandria via LeMat-Bulk
Functional: GGA-PBE
Structure: relaxed

Cell lengths 4.691, 4.691, 11.566 Å; angles 90.00, 90.00, 90.00 degrees
Fractional coordinates of all 10 atoms:
Sr  0.500  0.000  0.256
Sr  0.000  0.500  0.744
Zn  0.500  0.500  0.500
In  0.500  0.500  0.000
In  0.000  0.000  0.000
In  0.500  0.000  0.627
In  0.000  0.500  0.373
Au  0.000  0.000  0.500
Au  0.500  0.000  0.862
Au  0.000  0.500  0.138

calculated total energy: -30.11 eV per cell
DFT formation energy: -0.47 eV per atom
N(E_F): 4.31 states/eV per cell
crystal system: tetragonal

***

No. 3
Compound: Sr2ZnIn3Au4
Source: Alexandria via LeMat-Bulk
Functional: GGA-PBE
Structure: relaxed

Cell lengths 4.642, 4.642, 11.563 Å; angles 90.00, 90.00, 90.00 degrees
Fractional coordinates of all 10 atoms:
Sr  0.500  0.000  0.252
Sr  0.000  0.500  0.748
Zn  0.500  0.500  0.500
In  0.000  0.000  0.500
In  0.500  0.000  0.867
In  0.000  0.500  0.133
Au  0.500  0.500  0.000
Au  0.000  0.000  0.000
Au  0.500  0.000  0.631
Au  0.000  0.500  0.369

calculated total energy: -30.96 eV per cell
DFT formation energy: -0.50 eV per atom
N(E_F): 5.13 states/eV per cell
crystal system: tetragonal

***

No. 4
Compound: Ta2InAu
Source: Alexandria via LeMat-Bulk
Functional: GGA-PBE
Structure: relaxed

Cell lengths 5.305, 5.305, 5.305 Å; angles 134.43, 134.43, 66.41 degrees
Fractional coordinates of all 4 atoms:
Au  0.500  0.500  0.000
In  0.750  0.250  0.500
Ta  0.000  0.000  0.000
Ta  0.250  0.750  0.500

calculated total energy: -29.06 eV per cell
DFT formation energy: 0.17 eV per atom
N(E_F): 2.15 states/eV per cell
crystal system: tetragonal

***

No. 5
Compound: Ta2InAu
Source: Alexandria via LeMat-Bulk
Functional: GGA-PBE
Structure: relaxed

Cell lengths 2.925, 2.925, 8.891 Å; angles 90.00, 90.00, 90.00 degrees
Fractional coordinates of all 4 atoms:
Au  0.000  0.000  0.488
In  0.500  0.500  0.749
Ta  0.000  0.000  0.008
Ta  0.500  0.500  0.256

calculated total energy: -29.61 eV per cell
DFT formation energy: 0.03 eV per atom
N(E_F): 3.17 states/eV per cell
crystal system: tetragonal

***

No. 6
Compound: Ta2InAu
Source: Alexandria via LeMat-Bulk
Functional: GGA-PBE
Structure: relaxed

Cell lengths 3.962, 3.962, 10.779 Å; angles 79.41, 79.41, 90.00 degrees
Fractional coordinates of all 8 atoms:
In  0.500  0.500  0.000
In  0.250  0.750  0.500
Au  0.000  0.000  0.000
Au  0.750  0.250  0.500
Ta  0.623  0.125  0.250
Ta  0.127  0.625  0.250
Ta  0.375  0.377  0.750
Ta  0.875  0.873  0.750

calculated total energy: -55.41 eV per cell
DFT formation energy: 0.50 eV per atom
N(E_F): 6.39 states/eV per cell
crystal system: tetragonal